This record from Alexandria via LeMat-Bulk describes a relaxed TmHfOs crystal. The functional is PBE.

abc: 3.309 3.309 11.563
angles: 90.00 90.00 90.00
Space group I4mm (No. 107)
Unique sites:
Tm  0.000  0.000  0.000 x2
Hf  0.000  0.000  0.283 x2
Os  0.000  0.000  0.658 x2

Summary:
- mass density (kg/m³) = 14099
- DOS(E_F) (states/eV/f.u.) = 2.25
- calculated volume (Å³/cell) = 126.6
- energy relative to the elements (meV/atom) = -261.8
- energy above the most stable polymorph in this dataset (eV per atom) = 0.000

***

This record from Alexandria via LeMat-Bulk describes a relaxed MnZnCl crystal. The functional is PBE.

abc: 3.412 5.381 12.400
angles: 90.00 90.00 90.00
Space group Fmm2 (No. 42)
Unique sites:
Mn  0.000  0.000  0.000 x4
Zn  0.000  0.000  0.347 x4
Cl  0.000  0.000  0.642 x4

Summary:
- mass density (kg/m³) = 4545
- DOS(E_F) (states/eV/f.u.) = 1.71
- uncorrected formation energy (meV per atom) = -5
- calculated volume (Å³/cell) = 227.7
- energy above the most stable polymorph in this dataset (eV per atom) = 0.127

***

This record from Alexandria via LeMat-Bulk describes a relaxed LuPb3 crystal. The functional is PBE.

abc: 4.908 4.908 4.761
angles: 90.00 90.00 90.00
Space group P4/mmm (No. 123)
Unique sites:
Lu  0.000  0.000  0.000 x1
Pb  0.000  0.500  0.500 x2
Pb  0.500  0.500  0.000 x1

Summary:
- mass density (kg/m³) = 11534
- DOS(E_F) (states/eV/f.u.) = 2.52
- calculated volume (Å³/cell) = 114.7
- energy relative to the elements (meV/atom) = -179.4

***

This record from Alexandria via LeMat-Bulk describes a relaxed ZrSi3Ni10 crystal. The functional is PBE.

abc: 11.248 11.248 11.248
angles: 90.00 90.00 90.00
Space group Fm-3m (No. 225)
Unique sites:
Zr  0.250  0.250  0.250 x8
Si  0.000  0.000  0.236 x24
Ni  0.000  0.176  0.324 x48
Ni  0.118  0.118  0.118 x32

Summary:
- mass density (kg/m³) = 7117
- DOS(E_F) (states/eV/f.u.) = 11.88
- uncorrected formation energy (meV per atom) = -366
- calculated volume (Å³/cell) = 1423.0

***

This record from Alexandria via LeMat-Bulk describes a relaxed LiMnC3 crystal. The functional is PBE.

abc: 3.738 3.738 3.738
angles: 90.00 90.00 90.00
Space group Pm-3m (No. 221)
Unique sites:
Li  0.000  0.000  0.000 x1
Mn  0.500  0.500  0.500 x1
C  0.000  0.500  0.500 x3

Summary:
- mass density (kg/m³) = 3114
- DOS(E_F) (states/eV/f.u.) = 3.18
- calculated volume (Å³/cell) = 52.2
- energy relative to the elements (meV/atom) = 1434.5
- energy above the most stable polymorph in this dataset (eV per atom) = 0.000

***

This record from Alexandria via LeMat-Bulk describes a relaxed CoSi2Au crystal. The functional is PBE.

abc: 3.145 3.978 5.055
angles: 90.00 101.90 90.00
Space group P2/m (No. 10)
Unique sites:
Co  0.000  0.000  0.000 x1
Si  0.315  0.500  0.189 x2
Au  0.500  0.000  0.500 x1

Summary:
- mass density (kg/m³) = 8373
- DOS(E_F) (states/eV/f.u.) = 1.85
- uncorrected formation energy (meV per atom) = 122
- calculated volume (Å³/cell) = 61.9
- energy above the most stable polymorph in this dataset (eV per atom) = 0.244

***

This record from Alexandria via LeMat-Bulk describes a relaxed Ac12PrDy7 crystal. The functional is PBE.

abc: 20.7487 20.7487 6.6282
angles: 90.00 90.00 120.00
Space group R-3 (No. 148, hexagonal axes)
Unique sites:
Ac  0.9997  0.4128  0.4990 x18
Ac  0.1032  0.5511  0.9871 x18
Pr  0.0000  0.0000  0.0000 x3
Dy  0.0000  0.0000  0.5000 x3
Dy  0.0799  0.1608  0.8144 x18

Summary:
- mass density (kg/m³) = 8068
- DOS(E_F) (states/eV/f.u.) = 31.68
- calculated volume (Å³/cell) = 2471.2
- energy relative to the elements (meV/atom) = 228.4

***

This record from Alexandria via LeMat-Bulk describes a relaxed MgURh4 crystal. The functional is PBE.

abc: 7.649 3.983 12.713
angles: 90.00 90.00 90.00
Space group Pnma (No. 62)
Unique sites:
Mg  0.246  0.250  0.228 x4
U  0.249  0.750  0.427 x4
Rh  0.006  0.250  0.754 x4
Rh  0.021  0.750  0.912 x4
Rh  0.022  0.250  0.406 x4
Rh  0.247  0.250  0.578 x4

Summary:
- mass density (kg/m³) = 11559
- DOS(E_F) (states/eV/f.u.) = 2.94
- calculated volume (Å³/cell) = 387.3
- energy relative to the elements (meV/atom) = -522.2